(1)
{"formula": "PuSiIr2", "functional": "PBE", "state": "relaxed", "lattice_angstrom": [[-2.779, -0.246, 2.782], [-2.757, -0.386, -2.788], [1.069, -9.364, 0.240]], "species": ["Ir", "Ir", "Ir", "Ir", "Pu", "Pu", "Si", "Si"], "fractional_positions": [[0.000, 0.000, 0.500], [0.000, 0.500, 0.108], [0.500, 0.000, 0.892], [0.500, 0.500, 0.500], [0.500, 0.000, 0.201], [0.000, 0.500, 0.799], [0.000, 0.500, 0.357], [0.500, 0.000, 0.643]], "e_form_raw_ev_per_atom": -0.6338, "m_tot_mub_per_fu": 4.48}

***

(2)
{"formula": "Pu2Si2Ir", "functional": "PBE", "state": "relaxed", "lattice_angstrom": [[-0.537, -3.902, -4.996], [-3.811, -3.809, 3.384], [-7.378, 4.774, -2.935]], "species": ["Si", "Si", "Si", "Si", "Si", "Si", "Si", "Si", "Pu", "Pu", "Pu", "Pu", "Pu", "Pu", "Pu", "Pu", "Ir", "Ir", "Ir", "Ir"], "fractional_positions": [[0.366, 0.866, 0.250], [0.366, 0.866, 0.750], [0.134, 0.366, 0.250], [0.634, 0.134, 0.250], [0.866, 0.634, 0.250], [0.634, 0.134, 0.750], [0.866, 0.634, 0.750], [0.134, 0.366, 0.750], [0.671, 0.829, 0.000], [0.829, 0.329, 0.500], [0.829, 0.329, 0.000], [0.329, 0.171, 0.000], [0.171, 0.671, 0.500], [0.329, 0.171, 0.500], [0.171, 0.671, 0.000], [0.671, 0.829, 0.500], [0.500, 0.500, 0.750], [0.000, 0.000, 0.750], [0.000, 0.000, 0.250], [0.500, 0.500, 0.250]], "e_form_raw_ev_per_atom": -0.6348, "m_tot_mub_per_fu": 10.19}